[1]
The following is a DFT calculation (SCAN) of a PBEsol-optimized structure of LiVB2O5.

Cell: 6.852 9.525 5.458 Å, 90.00 107.82 90.00°
Sites, in units of the cell vectors:
Li: 0.202 0.047 0.177
Li: 0.202 0.453 0.677
Li: 0.798 0.547 0.323
Li: 0.798 0.953 0.823
V: 0.246 0.676 0.300
V: 0.246 0.824 0.800
V: 0.754 0.176 0.200
V: 0.754 0.324 0.700
B: 0.096 0.117 0.650
B: 0.096 0.383 0.150
B: 0.456 0.077 0.708
B: 0.456 0.423 0.208
B: 0.544 0.577 0.792
B: 0.544 0.923 0.292
B: 0.904 0.617 0.850
B: 0.904 0.883 0.350
O: 0.066 0.709 0.941
O: 0.066 0.791 0.441
O: 0.084 0.004 0.797
O: 0.084 0.496 0.297
O: 0.272 0.149 0.585
O: 0.272 0.351 0.085
O: 0.366 0.653 0.693
O: 0.366 0.847 0.193
O: 0.465 0.564 0.239
O: 0.465 0.936 0.739
O: 0.535 0.064 0.261
O: 0.535 0.436 0.761
O: 0.634 0.153 0.807
O: 0.634 0.347 0.307
O: 0.728 0.649 0.915
O: 0.728 0.851 0.415
O: 0.916 0.504 0.703
O: 0.916 0.996 0.203
O: 0.934 0.209 0.559
O: 0.934 0.291 0.059

Properties
- Space group: No. 14

***

[2]
The following is a DFT calculation (SCAN) of a PBEsol-optimized structure of BeOsAu2.

Cell: 3.241 2.863 12.250 Å, 90.00 90.00 90.00°
Sites, in units of the cell vectors:
Be: 0.000 0.000 0.000
Be: 0.000 0.500 0.500
Os: 0.500 0.000 0.566
Os: 0.500 0.500 0.066
Au: 0.000 0.000 0.213
Au: 0.000 0.500 0.713
Au: 0.500 0.000 0.864
Au: 0.500 0.500 0.364

Properties
- Space group: No. 38
- DFT formation energy: 4.61 kcal/mol of atoms

***

[3]
The following is a DFT calculation (SCAN) of a PBEsol-optimized structure of ZrTc2.

Cell: 5.200 5.200 5.200 Å, 60.00 60.00 60.00°
Sites, in units of the cell vectors:
Zr: 0.125 0.125 0.125
Zr: 0.875 0.875 0.875
Tc: 0.000 0.500 0.500
Tc: 0.500 0.000 0.500
Tc: 0.500 0.500 0.000
Tc: 0.500 0.500 0.500

Properties
- Space group: No. 227
- DFT formation energy: -8.86 kcal/mol of atoms

***

[4]
The following is a DFT calculation (SCAN) of a PBEsol-optimized structure of BaAgSe.

Cell: 4.658 4.658 4.427 Å, 90.00 90.00 120.00°
Sites, in units of the cell vectors:
Ba: 0.000 0.000 0.000
Ag: 0.333 0.667 0.500
Se: 0.667 0.333 0.500

Properties
- Space group: No. 187

***

[5]
The following is a DFT calculation (SCAN) of a PBEsol-optimized structure of Lu3Mg2Si3O12.

Cell: 10.301 10.301 10.301 Å, 109.47 109.47 109.47°
Sites, in units of the cell vectors:
Lu: 0.125 0.250 0.375
Lu: 0.125 0.375 0.750
Lu: 0.250 0.375 0.125
Lu: 0.250 0.875 0.625
Lu: 0.375 0.125 0.250
Lu: 0.375 0.750 0.125
Lu: 0.625 0.250 0.875
Lu: 0.625 0.875 0.750
Lu: 0.750 0.125 0.375
Lu: 0.750 0.625 0.875
Lu: 0.875 0.625 0.250
Lu: 0.875 0.750 0.625
Mg: 0.000 0.000 0.000
Mg: 0.000 0.000 0.500
Mg: 0.000 0.500 0.000
Mg: 0.000 0.500 0.500
Mg: 0.500 0.000 0.000
Mg: 0.500 0.000 0.500
Mg: 0.500 0.500 0.000
Mg: 0.500 0.500 0.500
Si: 0.125 0.750 0.875
Si: 0.125 0.875 0.250
Si: 0.250 0.125 0.875
Si: 0.250 0.625 0.375
Si: 0.375 0.250 0.625
Si: 0.375 0.625 0.750
Si: 0.625 0.375 0.250
Si: 0.625 0.750 0.375
Si: 0.750 0.375 0.625
Si: 0.750 0.875 0.125
Si: 0.875 0.125 0.750
Si: 0.875 0.250 0.125
O: 0.019 0.215 0.122
O: 0.019 0.304 0.897
O: 0.093 0.715 0.696
O: 0.093 0.878 0.397
O: 0.103 0.622 0.407
O: 0.103 0.981 0.696
O: 0.122 0.019 0.215
O: 0.122 0.603 0.907
O: 0.196 0.215 0.593
O: 0.196 0.481 0.603
O: 0.215 0.122 0.019
O: 0.215 0.593 0.196
O: 0.285 0.304 0.907
O: 0.285 0.481 0.378
O: 0.304 0.897 0.019
O: 0.304 0.907 0.285
O: 0.378 0.285 0.481
O: 0.378 0.593 0.897
O: 0.397 0.093 0.878
O: 0.397 0.804 0.519
O: 0.407 0.103 0.622
O: 0.407 0.804 0.785
O: 0.481 0.378 0.285
O: 0.481 0.603 0.196
O: 0.519 0.397 0.804
O: 0.519 0.622 0.715
O: 0.593 0.196 0.215
O: 0.593 0.897 0.378
O: 0.603 0.196 0.481
O: 0.603 0.907 0.122
O: 0.622 0.407 0.103
O: 0.622 0.715 0.519
O: 0.696 0.093 0.715
O: 0.696 0.103 0.981
O: 0.715 0.519 0.622
O: 0.715 0.696 0.093
O: 0.785 0.407 0.804
O: 0.785 0.878 0.981
O: 0.804 0.519 0.397
O: 0.804 0.785 0.407
O: 0.878 0.397 0.093
O: 0.878 0.981 0.785
O: 0.897 0.019 0.304
O: 0.897 0.378 0.593
O: 0.907 0.122 0.603
O: 0.907 0.285 0.304
O: 0.981 0.696 0.103
O: 0.981 0.785 0.878

Properties
- Space group: No. 230

***

[6]
The following is a DFT calculation (SCAN) of a PBEsol-optimized structure of SrHfSc2Ir.

Cell: 4.992 4.992 5.542 Å, 90.00 90.00 90.00°
Sites, in units of the cell vectors:
Sr: 0.000 0.000 0.000
Hf: 0.500 0.500 0.000
Sc: 0.000 0.500 0.500
Sc: 0.500 0.000 0.500
Ir: 0.000 0.000 0.500

Properties
- Space group: No. 123
- DFT formation energy: 6.24 kcal/mol of atoms

***

Number 1: E -9.910 eV per atom, density 3.12 g cm⁻³, total magnetization 2.00 μB/f.u.. Number 2: E -53.437 eV per atom, density 17.33 g cm⁻³, total magnetization 0.00 μB/f.u.. Number 3: E -33.990 eV per atom, density 9.59 g cm⁻³, total magnetization 0.00 μB/f.u.. Number 4: E -31.311 eV per atom, density 6.47 g cm⁻³, total magnetization 0.80 μB/f.u.. Number 5: E -17.441 eV per atom, density 6.71 g cm⁻³, total magnetization 0.00 μB/f.u.. Number 6: E -36.634 eV per atom, density 6.59 g cm⁻³, total magnetization 1.38 μB/f.u..